(1)
K2RbLiCd: optimized geometry, GGA-PBE.

Cell: 6.9496 6.9496 5.6500 Å, 90.00 90.00 90.00°
Element x y z (fractional)
1 K 0.0000 0.5000 0.0000
2 K 0.5000 0.0000 0.0000
3 Rb 0.0000 0.0000 0.5000
4 Li 0.5000 0.5000 0.5000
5 Cd 0.5000 0.5000 0.0000

Values from the calculation:
**Formation enthalpy at 0 K**: 0.072 eV/atom
**SG**: P4/mmm, No. 123
**N(E_F)**: 3.2 states/eV/cell

(2)
SrLiH3: optimized geometry, GGA-PBE.

Cell: 4.7175 4.7175 4.7175 Å, 86.28 86.28 86.28°
Element x y z (fractional)
1 Sr 0.0000 0.0000 0.0000
2 Li 0.6682 0.6682 0.6682
3 H 0.4993 0.9153 0.9153
4 H 0.9153 0.4993 0.9153
5 H 0.9153 0.9153 0.4993

Values from the calculation:
**SG**: R3m, No. 160
**VASP energy**: -3.024 eV/atom
**N(E_F)**: 0.0 states/eV/cell

(3)
LiHgOs: optimized geometry, GGA-PBE.

Cell: 2.8005 2.8005 7.2162 Å, 90.00 90.00 120.00°
Element x y z (fractional)
1 Li 0.0000 0.0000 0.0000
2 Hg 0.3333 0.6667 0.6593
3 Os 0.6667 0.3333 0.2974

Values from the calculation:
**Formation enthalpy at 0 K**: 0.420 eV/atom
**SG**: P3m1, No. 156
**N(E_F)**: 2.2 states/eV/cell

(4)
CaAcLa5Nd2: optimized geometry, GGA-PBE.

Cell: 10.3049 10.3049 10.3049 Å, 125.39 125.39 80.89°
Element x y z (fractional)
1 Ca 0.2500 0.7500 0.5000
2 Ca 0.7500 0.2500 0.5000
3 Ac 0.2500 0.2500 0.0000
4 Ac 0.7500 0.7500 0.0000
5 La 0.0000 0.0000 0.0000
6 La 0.0810 0.5810 0.9076
7 La 0.1734 0.0810 0.5000
8 La 0.3266 0.8266 0.9076
9 La 0.4190 0.3266 0.5000
10 La 0.5000 0.5000 0.0000
11 La 0.5810 0.6734 0.5000
12 La 0.6734 0.1734 0.0924
13 La 0.8266 0.9190 0.5000
14 La 0.9190 0.4190 0.0924
15 Nd 0.1138 0.3862 0.5000
16 Nd 0.3862 0.8862 0.2723
17 Nd 0.6138 0.1138 0.7277
18 Nd 0.8862 0.6138 0.5000

Values from the calculation:
**Formation enthalpy at 0 K**: 0.221 eV/atom
**SG**: I4/mcm, No. 140
**N(E_F)**: 26.8 states/eV/cell